(1)
ZrTe2Se after structural relaxation, computed with GGA-PBE.

Computed properties:
The calculation puts the uncorrected formation energy at -135.3 meV/atom.

Lattice parameters (Å, degrees): 4.1903 4.1903 5.7585 90.00 90.00 90.00
With the nearest neighbours (Å) after each atom.
Element x y z (fractional)
1 Zr 0.0000 0.0000 0.0000  4 Se 2.96
2 Te 0.0000 0.5000 0.5000  4 Te 2.96
3 Te 0.5000 0.0000 0.5000  4 Te 2.96
4 Se 0.5000 0.5000 0.0000  4 Zr 2.96


(2)
MgRhBr after structural relaxation, computed with GGA-PBE.

Computed properties:
The calculation puts the uncorrected formation energy at -91.6 meV/atom. The value obtained for the energy above the most stable polymorph in this dataset is 1.37 eV per formula unit.

Lattice parameters (Å, degrees): 8.1935 4.1662 7.8064 90.00 90.00 90.00
With the nearest neighbours (Å) after each atom.
Element x y z (fractional)
1 Mg 0.1151 0.2500 0.0829  4 Rh 2.62-2.81, 2 Br 2.88
2 Mg 0.3849 0.7500 0.5829  4 Rh 2.62-2.81, 2 Br 2.88
3 Mg 0.6151 0.2500 0.4171  4 Rh 2.62-2.81, 2 Br 2.88
4 Mg 0.8849 0.7500 0.9171  4 Rh 2.62-2.81, 2 Br 2.88
5 Rh 0.2034 0.7500 0.8884  3 Br 2.49-2.71, 3 Mg 2.62-2.68
6 Rh 0.2966 0.2500 0.3884  3 Br 2.49-2.71, 3 Mg 2.62-2.68
7 Rh 0.7034 0.7500 0.6116  3 Br 2.49-2.71, 3 Mg 2.62-2.68
8 Rh 0.7966 0.2500 0.1116  3 Br 2.49-2.71, 3 Mg 2.62-2.68
9 Br 0.1580 0.2500 0.6716  3 Rh 2.49-2.71
10 Br 0.3420 0.7500 0.1716  3 Rh 2.49-2.71
11 Br 0.6580 0.2500 0.8284  3 Rh 2.49-2.71
12 Br 0.8420 0.7500 0.3284  3 Rh 2.49-2.71


(3)
Nd4Y2Tl3O2 after structural relaxation, computed with GGA-PBE.

Computed properties:
The calculation puts the uncorrected formation energy at -1191.5 meV/atom.

Lattice parameters (Å, degrees): 13.1204 13.1204 13.1204 158.74 158.74 30.25
With the nearest neighbours (Å) after each atom.
Element x y z (fractional)
1 Nd 0.0869 0.5869 0.5000  2 O 2.47
2 Nd 0.4131 0.9131 0.5000  2 O 2.47
3 Nd 0.5869 0.0869 0.5000  2 O 2.47
4 Nd 0.9131 0.4131 0.5000  2 O 2.47
5 Y 0.1977 0.1977 0.0000  1 O 2.30
6 Y 0.8023 0.8023 0.0000  1 O 2.30
7 Tl 0.3215 0.3215 0.0000  5 Y 3.14-3.46, 4 Nd 3.35
8 Tl 0.5000 0.5000 0.0000  8 Nd 3.27
9 Tl 0.6785 0.6785 0.0000  5 Y 3.14-3.46, 4 Nd 3.35
10 O 0.1071 0.1071 0.0000  1 Y 2.30, 4 Nd 2.47
11 O 0.8929 0.8929 0.0000  1 Y 2.30, 4 Nd 2.47


(4)
MgTiCd2 after structural relaxation, computed with GGA-PBE.

Computed properties:
The calculation puts the formation enthalpy at 0 K at -0.03 eV per atom.

Lattice parameters (Å, degrees): 3.1451 3.1451 8.0671 90.00 90.00 90.00
With the nearest neighbours (Å) after each atom.
Element x y z (fractional)
1 Mg 0.0000 0.0000 0.0000  8 Cd 3.03, 4 Mg 3.15
2 Ti 0.0000 0.0000 0.5000  8 Cd 2.98, 4 Ti 3.15
3 Cd 0.5000 0.5000 0.2549  4 Ti 2.98, 4 Mg 3.03, 4 Cd 3.15
4 Cd 0.5000 0.5000 0.7451  4 Ti 2.98, 4 Mg 3.03, 4 Cd 3.15


(5)
La6PrHo2Sc after structural relaxation, computed with GGA-PBE.

Computed properties:
The calculation puts the formation enthalpy at 0 K at 0.19 eV per atom.

Lattice parameters (Å, degrees): 6.5354 6.5354 9.1077 102.03 102.03 69.33
With the nearest neighbours (Å) after each atom.
Element x y z (fractional)
1 La 0.0867 0.6436 0.7154  1 Sc 3.10, 2 Ho 3.28-3.39, 1 La 3.29, 1 Pr 3.42
2 La 0.3349 0.3349 0.0528  1 Sc 3.51, 5 La 3.76-3.91, 1 Ho 3.82
3 La 0.3564 0.9133 0.2846  1 Sc 3.10, 2 Ho 3.28-3.39, 1 La 3.29, 1 Pr 3.42
4 La 0.6436 0.0867 0.7154  1 Sc 3.10, 2 Ho 3.28-3.39, 1 La 3.29, 1 Pr 3.42
5 La 0.6651 0.6651 0.9472  1 Sc 3.51, 5 La 3.76-3.91, 1 Ho 3.82
6 La 0.9133 0.3564 0.2846  1 Sc 3.10, 2 Ho 3.28-3.39, 1 La 3.29, 1 Pr 3.42
7 Pr 0.5000 0.5000 0.5000  4 La 3.42
8 Ho 0.1210 0.1210 0.6481  1 Ho 3.24, 4 La 3.28-3.39
9 Ho 0.8790 0.8790 0.3519  1 Ho 3.24, 4 La 3.28-3.39
10 Sc 0.0000 0.0000 0.0000  4 La 3.10


(6)
Hf2Zr5Sc after structural relaxation, computed with GGA-PBE.

Computed properties:
The calculation puts the formation enthalpy at 0 K at 0.10 eV per atom. The value obtained for the energy above the most stable polymorph in this dataset is 0.45 eV per formula unit.

Lattice parameters (Å, degrees): 8.1965 8.1965 8.1965 122.73 122.73 85.34
With the nearest neighbours (Å) after each atom.
Element x y z (fractional)
1 Hf 0.1419 0.6419 0.7838  8 Zr 3.02-3.04, 1 Hf 3.15
2 Hf 0.3581 0.1419 0.5000  8 Zr 3.02-3.04, 1 Hf 3.15
3 Hf 0.6419 0.8581 0.5000  8 Zr 3.02-3.04, 1 Hf 3.15
4 Hf 0.8581 0.3581 0.2162  8 Zr 3.02-3.04, 1 Hf 3.15
5 Zr 0.0000 0.0000 0.0000  2 Sc 3.01, 4 Hf 3.03
6 Zr 0.0134 0.8135 0.5000  3 Hf 3.02-3.04, 4 Zr 3.05-3.33, 2 Sc 3.17
7 Zr 0.1865 0.6865 0.1999  3 Hf 3.02-3.04, 4 Zr 3.05-3.33, 2 Sc 3.17
8 Zr 0.3135 0.5134 0.5000  3 Hf 3.02-3.04, 4 Zr 3.05-3.33, 2 Sc 3.17
9 Zr 0.4866 0.9866 0.8001  3 Hf 3.02-3.04, 4 Zr 3.05-3.33, 2 Sc 3.17
10 Zr 0.5000 0.5000 0.0000  2 Sc 3.01, 4 Hf 3.03
11 Zr 0.5134 0.0134 0.1999  3 Hf 3.02-3.04, 4 Zr 3.05-3.33, 2 Sc 3.17
12 Zr 0.6865 0.4866 0.5000  3 Hf 3.02-3.04, 4 Zr 3.05-3.33, 2 Sc 3.17
13 Zr 0.8135 0.3135 0.8001  3 Hf 3.02-3.04, 4 Zr 3.05-3.33, 2 Sc 3.17
14 Zr 0.9866 0.1865 0.5000  3 Hf 3.02-3.04, 4 Zr 3.05-3.33, 2 Sc 3.17
15 Sc 0.2500 0.2500 0.0000  10 Zr 3.01-3.17
16 Sc 0.7500 0.7500 0.0000  10 Zr 3.01-3.17


(7)
Tm2PtN after structural relaxation, computed with GGA-PBE.

Computed properties:
The calculation puts the uncorrected formation energy at -811.9 meV/atom.

Lattice parameters (Å, degrees): 8.2705 8.2705 8.2705 22.85 22.85 22.85
With the nearest neighbours (Å) after each atom.
Element x y z (fractional)
1 Tm 0.1103 0.1103 0.1103  3 N 2.33
2 Tm 0.8897 0.8897 0.8897  3 N 2.33
3 Pt 0.0000 0.0000 0.0000  2 Tm 2.66
4 N 0.5000 0.5000 0.5000  6 Tm 2.33


(8)
LiDyTm2S4 after structural relaxation, computed with GGA-PBE.

Computed properties:
The calculation puts the uncorrected formation energy at -1923.6 meV/atom.

Lattice parameters (Å, degrees): 6.6645 3.8376 6.6650 90.00 109.34 90.00
With the nearest neighbours (Å) after each atom.
Element x y z (fractional)
1 Li 0.0000 0.0000 0.0000  6 S 2.69-2.71
2 Dy 0.0000 0.5000 0.5000  6 S 2.74
3 Tm 0.5000 0.0000 0.5000  6 S 2.73-2.75
4 Tm 0.5000 0.5000 0.0000  6 S 2.70
5 S 0.2494 0.5000 0.2457  3 Tm 2.70-2.73, 2 Li 2.71, 1 Dy 2.74
6 S 0.2507 0.0000 0.7567  1 Li 2.69, 3 Tm 2.70-2.75, 2 Dy 2.74
7 S 0.7493 0.0000 0.2433  1 Li 2.69, 3 Tm 2.70-2.75, 2 Dy 2.74
8 S 0.7506 0.5000 0.7543  3 Tm 2.70-2.73, 2 Li 2.71, 1 Dy 2.74


no.,density of states at the Fermi level (states/eV per cell),size of the total moment (Bohr magnetons per cell)
1,3.2,0.1
2,2.5,0.0
3,6.7,0.0
4,1.4,1.0
5,15.4,0.0
6,18.4,1.7
7,1.2,0.0
8,2.4,0.0